# 1
DFT (SCAN) results for KRb2TmCl6 at its PBEsol-relaxed geometry.

abc: 7.7466 7.7466 7.7466
angles: 60.00 60.00 60.00
Positions (direct):
K 0.5000 0.5000 0.5000
Cl 0.2338 0.7662 0.2338
Cl 0.7662 0.7662 0.2338
Cl 0.2338 0.7662 0.7662
Cl 0.7662 0.2338 0.2338
Cl 0.2338 0.2338 0.7662
Cl 0.7662 0.2338 0.7662
Rb 0.7500 0.7500 0.7500
Rb 0.2500 0.2500 0.2500
Tm 0.0000 0.0000 0.0000

Results
Space group   Fm-3m
Total magnetization   0.00 μB/f.u.
Uncorrected formation energy   -2345 meV/atom

=====

# 2
DFT (SCAN) results for Ru2W at its PBEsol-relaxed geometry.

abc: 2.7276 7.3741 7.3741
angles: 120.00 90.00 90.00
Positions (direct):
Ru 0.0000 0.6958 0.6958
Ru 0.0000 0.3042 0.0000
Ru 0.5000 0.0000 0.6390
Ru 0.0000 0.0000 0.3042
Ru 0.5000 0.6390 0.0000
Ru 0.5000 0.3610 0.3610
W 0.0000 0.6667 0.3333
W 0.0000 0.3333 0.6667
W 0.5000 0.0000 0.0000

Results
Space group   P-62m
Formation energy from the elements   0.042 eV/atom
Total magnetization   0.00 μB/f.u.

=====

# 3
DFT (SCAN) results for SiH2F at its PBEsol-relaxed geometry.

abc: 3.5121 3.5121 3.5121
angles: 60.00 60.00 60.00
Last column: magnetic moment on the atom in μB.
Positions (direct):
H 0.7500 0.7500 0.7500  0.02
H 0.2500 0.2500 0.2500  0.02
Si 0.5000 0.5000 0.5000  0.00
F 0.0000 0.0000 0.0000  0.06

Results
Space group   Fm-3m
Excess energy over the best structure of this formula in the dataset   0.600 eV/atom
Total magnetization   0.13 μB/f.u.

=====

# 4
DFT (SCAN) results for K2MnBe at its PBEsol-relaxed geometry.

abc: 3.0846 3.5708 9.9103
angles: 90.00 90.00 90.00
Last column: magnetic moment on the atom in μB.
Positions (direct):
K 0.0000 0.0000 0.9166  0.00
K 0.5000 0.5000 0.3298  0.00
Be 0.5000 0.5000 0.6447  -0.16
Mn 0.0000 0.0000 0.6089  3.85

Results
Space group   Pmm2
Formation energy from the elements   0.483 eV/atom
Total magnetization   3.69 μB/f.u.

=====

# 5
DFT (SCAN) results for CaMgBe at its PBEsol-relaxed geometry.

abc: 4.7013 4.7013 4.7013
angles: 60.00 60.00 60.00
Positions (direct):
Ca 0.0000 0.0000 0.0000
Mg 0.5000 0.5000 0.5000
Be 0.2500 0.2500 0.2500

Results
Space group   F-43m
Excess energy over the best structure of this formula in the dataset   0.129 eV/atom
Formation energy from the elements   0.385 eV/atom
Total magnetization   0.02 μB/f.u.

=====

# 6
DFT (SCAN) results for BP2Pb2O9 at its PBEsol-relaxed geometry.

abc: 5.4271 8.2223 15.8011
angles: 90.00 88.68 90.00
Positions (direct):
O 0.7098 0.8711 0.3187
O 0.3296 0.1072 0.9485
O 0.9135 0.6104 0.3463
O 0.4929 0.0748 0.4055
O 0.5865 0.1104 0.1537
O 0.0329 0.9419 0.5902
O 0.0379 0.0378 0.1203
O 0.7339 0.6804 0.2126
O 0.8004 0.1933 0.0176
O 0.9621 0.9622 0.8797
O 0.5329 0.5581 0.0902
O 0.4621 0.5378 0.3797
O 0.9671 0.0581 0.4098
O 0.8296 0.3928 0.4485
O 0.6704 0.8928 0.0515
O 0.2339 0.8196 0.7126
O 0.8752 0.1965 0.7355
O 0.1704 0.6072 0.5515
O 0.6996 0.6933 0.4824
O 0.2902 0.1289 0.6813
O 0.3004 0.3067 0.5176
O 0.1996 0.8067 0.9824
O 0.7902 0.3711 0.1813
O 0.5071 0.9252 0.5945
O 0.4671 0.4419 0.9098
O 0.9929 0.4252 0.9055
O 0.0865 0.3896 0.6537
O 0.2098 0.6289 0.8187
O 0.3752 0.3035 0.2355
O 0.4135 0.8896 0.8463
O 0.6248 0.6965 0.7645
O 0.5379 0.4622 0.6203
O 0.0071 0.5748 0.0945
O 0.7661 0.1804 0.2874
O 0.1248 0.8035 0.2645
O 0.2661 0.3196 0.7874
P 0.7636 0.5458 0.1440
P 0.2219 0.9469 0.9173
P 0.7364 0.0458 0.3560
P 0.7219 0.5531 0.4173
P 0.2781 0.4469 0.5827
P 0.2364 0.4542 0.8560
P 0.2636 0.9542 0.6440
P 0.7781 0.0531 0.0827
B 0.3845 0.7561 0.7820
B 0.1155 0.2561 0.7180
B 0.6155 0.2439 0.2180
B 0.8845 0.7439 0.2820
Pb 0.7202 0.2011 0.8726
Pb 0.7798 0.7011 0.6274
Pb 0.2202 0.2989 0.3726
Pb 0.7633 0.6942 0.9211
Pb 0.2633 0.8058 0.4211
Pb 0.2367 0.3058 0.0789
Pb 0.7367 0.1942 0.5789
Pb 0.2798 0.7989 0.1274

Results
Space group   P2_1/c
Total magnetization   0.00 μB/f.u.
Uncorrected formation energy   -2082 meV/atom

=====

# 7
DFT (SCAN) results for NiPb at its PBEsol-relaxed geometry.

abc: 3.6441 3.6377 5.4367
angles: 90.00 90.00 90.00
Positions (direct):
Pb 0.5000 0.5000 0.8124
Pb 0.0000 0.0000 0.1876
Ni 0.5000 0.5000 0.3401
Ni 0.0000 0.0000 0.6599

Results
Space group   P4/nmm
Formation energy from the elements   0.332 eV/atom
Total magnetization   0.00 μB/f.u.

=====

# 8
DFT (SCAN) results for AlSe2Br at its PBEsol-relaxed geometry.

abc: 3.8286 3.8286 6.1486
angles: 90.00 90.00 90.00
Positions (direct):
Se 0.5000 0.0000 0.0000
Se 0.0000 0.5000 0.0000
Al 0.0000 0.0000 0.5000
Br 0.5000 0.5000 0.5000

Results
Space group   P4/mmm
Excess energy over the best structure of this formula in the dataset   0.769 eV/atom
Total magnetization   0.00 μB/f.u.
Uncorrected formation energy   83 meV/atom

=====

| no. | total energy (eV/atom) |
| --- | --- |
| 1 | -17.2958 |
| 2 | -46.4047 |
| 3 | -4.6606 |
| 4 | -9.3338 |
| 5 | -5.9449 |
| 6 | -18.9300 |
| 7 | -45.6448 |
| 8 | -16.7592 |